(1)
Compound: ScCoRh4
Source: Alexandria
Functional: PBE
Structure: optimized geometry

```
ScCoRh4
1.0
-1.7839 3.3160 3.4677
-3.0360 3.8516 -1.4668
-4.9624 -0.0317 1.2557
Sc Co Rh
1 1 4
direct
0.7500 0.7500 0.7500 Sc
0.0000 0.0000 0.0000 Co
0.8757 0.3748 0.3748 Rh
0.3748 0.3748 0.8757 Rh
0.3748 0.8757 0.3748 Rh
0.3748 0.3748 0.3748 Rh
```

Results
Total moment (μB/atom): 0.587
Energy of formation (meV/atom): -96
Space group: No. 216



(2)
Compound: RbAl2Ga2
Source: Alexandria
Functional: PBE
Structure: optimized geometry

```
RbAl2Ga2
1.0
-2.0103 1.5205 -3.7467
0.3278 -4.5699 -2.0304
-8.8846 -1.0308 7.0699
Rb Al Ga
2 4 4
direct
0.8393 0.5893 0.6787 Rb
0.1607 0.4107 0.3213 Rb
0.5387 0.2887 0.0775 Al
0.9676 0.2176 0.9353 Al
0.4613 0.7113 0.9225 Al
0.0324 0.7824 0.0647 Al
0.7227 0.9727 0.4455 Ga
0.2773 0.0273 0.5545 Ga
0.4017 0.1517 0.8034 Ga
0.5983 0.8483 0.1966 Ga
```

Results
Total moment (μB/atom): 0.000
Energy of formation (meV/atom): 42
Space group: No. 74



no.,DFT total energy (eV per atom)
1,-7.24
2,-2.86